Record 1
Crystalline BeSnN2 at its relaxed geometry, computed with GGA-PBEsol.

Computed properties:
The space group is No. 122. The value obtained for the formation energy from raw total energies is -0.44 eV per atom.

a b c (Å): 5.4601 5.4601 5.4601
angles (deg): 132.21 132.21 69.90
Atoms (fractional coordinates):
1 Be 0.0000 0.0000 0.0000
2 Be 0.7500 0.2500 0.5000
3 Sn 0.2500 0.7500 0.5000
4 Sn 0.5000 0.5000 0.0000
5 N 0.0703 0.6250 0.9453
6 N 0.3750 0.3203 0.4453
7 N 0.6797 0.1250 0.0547
8 N 0.8750 0.9297 0.5547

Record 2
Crystalline U2Si5Rh3 at its relaxed geometry, computed with GGA-PBEsol.

Computed properties:
The space group is No. 72. The value obtained for the formation energy from raw total energies is -0.70 eV per atom.

a b c (Å): 8.0161 8.0161 8.0161
angles (deg): 104.75 90.07 138.09
Atoms (fractional coordinates):
1 U 0.1340 0.2301 0.3642
2 U 0.3660 0.7301 0.0961
3 U 0.6340 0.2699 0.9039
4 U 0.8660 0.7699 0.6358
5 Si 0.0281 0.7500 0.2781
6 Si 0.1058 0.6563 0.7620
7 Si 0.2500 0.2500 0.0000
8 Si 0.3942 0.1563 0.5505
9 Si 0.4719 0.7500 0.7219
10 Si 0.5281 0.2500 0.2781
11 Si 0.6058 0.8437 0.4495
12 Si 0.7500 0.7500 0.0000
13 Si 0.8942 0.3437 0.2380
14 Si 0.9719 0.2500 0.7219
15 Rh 0.1400 0.8897 0.0298
16 Rh 0.2500 0.7500 0.5000
17 Rh 0.3600 0.3897 0.7497
18 Rh 0.6400 0.6103 0.2503
19 Rh 0.7500 0.2500 0.5000
20 Rh 0.8600 0.1103 0.9702

Record 3
Crystalline GaNiO2F at its relaxed geometry, computed with GGA-PBEsol.

Computed properties:
The space group is No. 123. The value obtained for the formation energy from raw total energies is -0.84 eV per atom.

a b c (Å): 3.7941 3.7941 3.7156
angles (deg): 90.00 90.00 90.00
Atoms (fractional coordinates):
1 Ga 0.0000 0.0000 0.0000
2 Ni 0.5000 0.5000 0.5000
3 O 0.0000 0.5000 0.0000
4 O 0.5000 0.0000 0.0000
5 F 0.0000 0.0000 0.5000

Record 4
Crystalline Li2ZnSi at its relaxed geometry, computed with GGA-PBEsol.

Computed properties:
The space group is No. 123. The value obtained for the formation energy from raw total energies is -0.12 eV per atom.

a b c (Å): 4.2914 4.2914 2.9394
angles (deg): 90.00 90.00 90.00
Atoms (fractional coordinates):
1 Li 0.0000 0.5000 0.0000
2 Li 0.5000 0.0000 0.0000
3 Zn 0.0000 0.0000 0.5000
4 Si 0.5000 0.5000 0.5000

Record 5
Crystalline Mg2Ge at its relaxed geometry, computed with GGA-PBEsol.

Computed properties:
The space group is No. 225. The value obtained for the formation energy is -0.284 eV/atom.

a b c (Å): 4.4997 4.4997 4.4997
angles (deg): 60.00 60.00 60.00
Atoms (fractional coordinates):
1 Mg 0.2500 0.2500 0.2500
2 Mg 0.7500 0.7500 0.7500
3 Ge 0.0000 0.0000 0.0000

Record 6
Crystalline PtAu at its relaxed geometry, computed with GGA-PBEsol.

Computed properties:
The space group is No. 8. The value obtained for the formation energy is 0.081 eV/atom.

a b c (Å): 5.5701 5.5701 6.6985
angles (deg): 106.39 106.39 28.86
Atoms (fractional coordinates):
1 Pt 0.0000 0.0000 0.0000
2 Pt 0.0567 0.0567 0.6147
3 Pt 0.4016 0.4016 0.2816
4 Au 0.3365 0.3365 0.6657
5 Au 0.6718 0.6718 0.3326
6 Au 0.7249 0.7249 0.9485

Record 7
Crystalline LaMg3Pt at its relaxed geometry, computed with GGA-PBEsol.

Computed properties:
The space group is No. 221. The value obtained for the formation energy is -0.337 eV/atom.

a b c (Å): 4.9838 4.9838 4.9838
angles (deg): 90.00 90.00 90.00
Atoms (fractional coordinates):
1 La 0.0000 0.0000 0.0000
2 Mg 0.0000 0.5000 0.5000
3 Mg 0.5000 0.0000 0.5000
4 Mg 0.5000 0.5000 0.0000
5 Pt 0.5000 0.5000 0.5000

Record 8
Crystalline SrTlRe2 at its relaxed geometry, computed with GGA-PBEsol.

Computed properties:
The space group is No. 12. The value obtained for the formation energy is 1.173 eV/atom.

a b c (Å): 5.8780 5.8780 2.7758
angles (deg): 100.84 100.84 120.30
Atoms (fractional coordinates):
1 Sr 0.0000 0.0000 0.0000
2 Tl 0.5000 0.5000 0.0000
3 Re 0.0000 0.5000 0.5000
4 Re 0.5000 0.0000 0.5000